# CeHoAl (GGA-PBE, relaxed)
# ΔE to the lowest computed polymorph in eV/atom: 0.206
# Formation energy in kJ per mole of atoms: -1.5
data_CeHoAl
_cell_length_a 5.1879
_cell_length_b 5.1879
_cell_length_c 3.0508
_cell_angle_alpha 90.00
_cell_angle_beta 90.00
_cell_angle_gamma 120.00
_space_group_name_H-M_alt 'P 3 m 1'
_space_group_IT_number 156
loop_
_space_group_symop_operation_xyz
'x,y,z'
'-y,x-y,z'
'-x+y,-x,z'
'-y,-x,z'
'-x+y,y,z'
'x,x-y,z'
loop_
_atom_site_label
_atom_site_type_symbol
_atom_site_fract_x
_atom_site_fract_y
_atom_site_fract_z
Ce1 Ce 0.0000 0.0000 0.0000
Ho1 Ho 0.3333 0.6667 0.9981
Al1 Al 0.6667 0.3333 0.4997

# Tb5DyHo6 (GGA-PBE, relaxed)
# ΔE to the lowest computed polymorph in eV/atom: 0.000
# Formation energy in kJ per mole of atoms: 1.6
data_Tb5DyHo6
_cell_length_a 6.1221
_cell_length_b 10.5906
_cell_length_c 11.6993
_cell_angle_alpha 90.00
_cell_angle_beta 99.96
_cell_angle_gamma 90.00
_space_group_name_H-M_alt 'C 1 2/m 1'
_space_group_IT_number 12
loop_
_space_group_symop_operation_xyz
'x,y,z'
'-x,-y,-z'
'-x,y,-z'
'x,-y,z'
'x+1/2,y+1/2,z'
'-x+1/2,-y+1/2,-z'
'-x+1/2,y+1/2,-z'
'x+1/2,-y+1/2,z'
loop_
_atom_site_label
_atom_site_type_symbol
_atom_site_fract_x
_atom_site_fract_y
_atom_site_fract_z
Tb1 Tb 0.0000 0.0000 0.0000
Tb2 Tb 0.0000 0.1667 0.5000
Tb3 Tb 0.0000 0.3334 0.0000
Dy1 Dy 0.0000 0.5000 0.5000
Ho1 Ho 0.2498 0.0000 0.7498
Ho2 Ho 0.2503 0.1666 0.2502

# Be2BS (GGA-PBE, relaxed)
# ΔE to the lowest computed polymorph in eV/atom: 1.380
# Energy relative to the elements, uncorrected in meV/atom: 1026
data_Be2BS
_cell_length_a 5.3991
_cell_length_b 5.3991
_cell_length_c 5.3991
_cell_angle_alpha 90.00
_cell_angle_beta 90.00
_cell_angle_gamma 90.00
_space_group_name_H-M_alt 'F m -3 m'
_space_group_IT_number 225
_space_group_name_Hall '-F 4 2 3'
loop_
_atom_site_label
_atom_site_type_symbol
_atom_site_fract_x
_atom_site_fract_y
_atom_site_fract_z
Be1 Be 0.2500 0.2500 0.2500
B1 B 0.0000 0.0000 0.0000
S1 S 0.0000 0.0000 0.5000

# La5Tl2Cd2 (GGA-PBE, relaxed)
# Formation energy in kJ per mole of atoms: -25.6
data_La5Tl2Cd2
_cell_length_a 17.3010
_cell_length_b 8.3307
_cell_length_c 8.3745
_cell_angle_alpha 90.00
_cell_angle_beta 90.00
_cell_angle_gamma 90.00
_space_group_name_H-M_alt 'C m c e'
_space_group_IT_number 64
_space_group_name_Hall '-C 2ac 2'
loop_
_atom_site_label
_atom_site_type_symbol
_atom_site_fract_x
_atom_site_fract_y
_atom_site_fract_z
La1 La 0.0000 0.0000 0.0000
La2 La 0.1415 0.1830 0.3259
Tl1 Tl 0.2126 0.0000 0.0000
Cd1 Cd 0.0000 0.1211 0.6234

# TaSnOs3 (GGA-PBE, relaxed)
# ΔE to the lowest computed polymorph in eV/atom: 0.447
# Formation energy in kJ per mole of atoms: 236.8
data_TaSnOs3
_cell_length_a 4.7077
_cell_length_b 4.7077
_cell_length_c 4.7077
_cell_angle_alpha 90.00
_cell_angle_beta 90.00
_cell_angle_gamma 90.00
_space_group_name_H-M_alt 'P m -3 m'
_space_group_IT_number 221
_space_group_name_Hall '-P 4 2 3'
loop_
_atom_site_label
_atom_site_type_symbol
_atom_site_fract_x
_atom_site_fract_y
_atom_site_fract_z
Ta1 Ta 0.0000 0.0000 0.0000
Sn1 Sn 0.5000 0.5000 0.5000
Os1 Os 0.0000 0.5000 0.5000

# LiCeAu (GGA-PBE, relaxed)
# ΔE to the lowest computed polymorph in eV/atom: 0.092
# Formation energy in kJ per mole of atoms: -35.3
data_LiCeAu
_cell_length_a 3.2725
_cell_length_b 3.2725
_cell_length_c 22.6652
_cell_angle_alpha 90.00
_cell_angle_beta 90.00
_cell_angle_gamma 90.00
_space_group_name_H-M_alt 'I 4/m m m'
_space_group_IT_number 139
_space_group_name_Hall '-I 4 2'
loop_
_atom_site_label
_atom_site_type_symbol
_atom_site_fract_x
_atom_site_fract_y
_atom_site_fract_z
Li1 Li 0.0000 0.0000 0.2142
Ce1 Ce 0.0000 0.0000 0.0586
Au1 Au 0.0000 0.0000 0.3466

The calculation returns the following E values, one per record and in order: -14.300, -55.024, -14.152, -33.587, -37.271, -12.223 eV/f.u..